LaTh3H8 | PBE | optimized geometry

Results
The density of states at the Fermi level is 0.46 states/eV per cell. The total DFT energy (no corrections) comes out at -5.05 eV per atom.

Cell: 5.496 5.496 5.496 Å, 90.00 90.00 90.00°
Fractional positions:
La 0.000 0.000 0.000
Th 0.500 0.500 0.000
Th 0.500 0.000 0.500
Th 0.000 0.500 0.500
H 0.256 0.256 0.744
H 0.256 0.744 0.256
H 0.744 0.256 0.256
H 0.744 0.744 0.744
H 0.744 0.744 0.256
H 0.744 0.256 0.744
H 0.256 0.744 0.744
H 0.256 0.256 0.256